# TbErP2Ir5

A relaxed TbErP2Ir5 crystal (PBE, Alexandria via LeMat-Bulk).

Lattice parameters (Å, degrees): 4.006 4.006 11.020 90.00 90.00 90.00
Atoms (fractional coordinates):
Tb (0.000, 0.000, 0.000)
Er (0.000, 0.000, 0.500)
P (0.500, 0.500, 0.207)
P (0.500, 0.500, 0.793)
Ir (0.000, 0.500, 0.305)
Ir (0.000, 0.500, 0.695)
Ir (0.500, 0.000, 0.305)
Ir (0.500, 0.000, 0.695)
Ir (0.500, 0.500, 0.000)

Electronic total energy = -7.764 eV per atom
Spin magnetization = 0.0 μB per formula unit
Calculated density = 12.67 g/cm³
Space-group type = No. 123
DFT formation energy = -617 meV/atom